(1)
A relaxed Au4I3Cl crystal. Source: the Open Quantum Materials Database, functional PBE-GGA.

Uncorrected energy   -20.36 eV/f.u.

a = 4.5622 Å, b = 4.5622 Å, c = 13.5380 Å
α = 90.00°, β = 90.00°, γ = 92.18°
Fractional coordinates of all 8 atoms:
Au (0.2347, 0.7653, 0.0000)
Au (0.2488, 0.2488, 0.4887)
Au (0.7512, 0.7512, 0.4887)
Au (0.7653, 0.2347, 0.0000)
I (0.0000, 0.0000, 0.6443)
I (0.5000, 0.5000, 0.3346)
I (0.5000, 0.5000, 0.8583)
Cl (0.0000, 0.0000, 0.1337)

(2)
A relaxed FeReTcSb crystal. Source: the Open Quantum Materials Database, functional PBE-GGA.

Excess energy over the best structure of this formula in the dataset   0 meV per atom

a = 4.4155 Å, b = 4.4155 Å, c = 4.4155 Å
α = 60.00°, β = 60.00°, γ = 60.00°
Fractional coordinates of all 4 atoms:
Fe (0.0000, 0.0000, 0.0000)
Re (0.2500, 0.2500, 0.2500)
Tc (0.5000, 0.5000, 0.5000)
Sb (0.7500, 0.7500, 0.7500)

(3)
A relaxed FeBi crystal. Source: the Open Quantum Materials Database, functional PBE-GGA.

Uncorrected energy   -11.18 eV/f.u.

a = 3.6021 Å, b = 3.6021 Å, c = 3.6912 Å
α = 90.00°, β = 90.00°, γ = 120.00°
Fractional coordinates of all 2 atoms:
Fe (0.0000, 0.0000, 0.0000)
Bi (0.3333, 0.6667, 0.5000)

(4)
A relaxed ZnAsPtO crystal. Source: the Open Quantum Materials Database, functional PBE-GGA.

Excess energy over the best structure of this formula in the dataset   855 meV per atom

a = 3.7423 Å, b = 3.7423 Å, c = 8.3725 Å
α = 90.00°, β = 90.00°, γ = 90.00°
Fractional coordinates of all 8 atoms:
Zn (0.2500, 0.7500, 0.0000)
Zn (0.7500, 0.2500, 0.0000)
As (0.2500, 0.2500, 0.2314)
As (0.7500, 0.7500, 0.7686)
Pt (0.2500, 0.2500, 0.6445)
Pt (0.7500, 0.7500, 0.3555)
O (0.2500, 0.7500, 0.5000)
O (0.7500, 0.2500, 0.5000)

(5)
A relaxed CsHg3PbO4 crystal. Source: the Open Quantum Materials Database, functional PBE-GGA.

Uncorrected energy   -28.49 eV/f.u.

a = 6.1399 Å, b = 6.1399 Å, c = 6.1399 Å
α = 90.00°, β = 90.00°, γ = 90.00°
Fractional coordinates of all 9 atoms:
Cs (0.0000, 0.0000, 0.0000)
Hg (0.0000, 0.5000, 0.5000)
Hg (0.5000, 0.0000, 0.5000)
Hg (0.5000, 0.5000, 0.0000)
Pb (0.5000, 0.5000, 0.5000)
O (0.2993, 0.2993, 0.2993)
O (0.2993, 0.7007, 0.7007)
O (0.7007, 0.2993, 0.7007)
O (0.7007, 0.7007, 0.2993)

(6)
A relaxed PmNdCu crystal. Source: the Open Quantum Materials Database, functional PBE-GGA.

Energy of formation from the pure elements   0.120 eV per atom
Excess energy over the best structure of this formula in the dataset   0 meV per atom

a = 4.9493 Å, b = 4.9493 Å, c = 4.9493 Å
α = 60.00°, β = 60.00°, γ = 60.00°
Fractional coordinates of all 3 atoms:
Pm (0.0000, 0.0000, 0.0000)
Nd (0.5000, 0.5000, 0.5000)
Cu (0.7500, 0.7500, 0.7500)

(7)
A relaxed Sb2PdO4 crystal. Source: the Open Quantum Materials Database, functional PBE-GGA.

Excess energy over the best structure of this formula in the dataset   146 meV per atom

a = 5.5368 Å, b = 5.6179 Å, c = 13.0211 Å
α = 90.00°, β = 90.00°, γ = 90.00°
Fractional coordinates of all 28 atoms:
Sb (0.0198, 0.0925, 0.1452)
Sb (0.0198, 0.4075, 0.6452)
Sb (0.4802, 0.5925, 0.1452)
Sb (0.4802, 0.9075, 0.6452)
Sb (0.5198, 0.0925, 0.3548)
Sb (0.5198, 0.4075, 0.8548)
Sb (0.9802, 0.5925, 0.3548)
Sb (0.9802, 0.9075, 0.8548)
Pd (0.0000, 0.0000, 0.5000)
Pd (0.0000, 0.5000, 0.0000)
Pd (0.5000, 0.0000, 0.0000)
Pd (0.5000, 0.5000, 0.5000)
O (0.1694, 0.1678, 0.0007)
O (0.1694, 0.3322, 0.5007)
O (0.2243, 0.6741, 0.6997)
O (0.2243, 0.8259, 0.1997)
O (0.2757, 0.1741, 0.6997)
O (0.2757, 0.3259, 0.1997)
O (0.3306, 0.6678, 0.0007)
O (0.3306, 0.8322, 0.5007)
O (0.6694, 0.1678, 0.4993)
O (0.6694, 0.3322, 0.9993)
O (0.7243, 0.6741, 0.8003)
O (0.7243, 0.8259, 0.3003)
O (0.7757, 0.1741, 0.8003)
O (0.7757, 0.3259, 0.3003)
O (0.8306, 0.6678, 0.4993)
O (0.8306, 0.8322, 0.9993)

(8)
A relaxed PrCuGe2Pt crystal. Source: the Open Quantum Materials Database, functional PBE-GGA.

Uncorrected energy   -27.48 eV/f.u.

a = 4.3176 Å, b = 4.3176 Å, c = 10.1533 Å
α = 90.00°, β = 90.00°, γ = 90.00°
Fractional coordinates of all 10 atoms:
Pr (0.2500, 0.2500, 0.2457)
Pr (0.7500, 0.7500, 0.7543)
Cu (0.2500, 0.7500, 0.0000)
Cu (0.7500, 0.2500, 0.0000)
Ge (0.2500, 0.2500, 0.8744)
Ge (0.2500, 0.7500, 0.5000)
Ge (0.7500, 0.2500, 0.5000)
Ge (0.7500, 0.7500, 0.1256)
Pt (0.2500, 0.2500, 0.6279)
Pt (0.7500, 0.7500, 0.3721)

(9)
A relaxed MgFeGeAu crystal. Source: the Open Quantum Materials Database, functional PBE-GGA.

Excess energy over the best structure of this formula in the dataset   0 meV per atom

a = 4.5060 Å, b = 4.5060 Å, c = 4.5060 Å
α = 60.00°, β = 60.00°, γ = 60.00°
Fractional coordinates of all 4 atoms:
Mg (0.0000, 0.0000, 0.0000)
Fe (0.5000, 0.5000, 0.5000)
Ge (0.2500, 0.2500, 0.2500)
Au (0.7500, 0.7500, 0.7500)

(10)
A relaxed LiPuNb crystal. Source: the Open Quantum Materials Database, functional PBE-GGA.

Excess energy over the best structure of this formula in the dataset   0 meV per atom

a = 4.3981 Å, b = 4.3981 Å, c = 4.3981 Å
α = 60.00°, β = 60.00°, γ = 60.00°
Fractional coordinates of all 3 atoms:
Li (0.0000, 0.0000, 0.0000)
Pu (0.5000, 0.5000, 0.5000)
Nb (0.2500, 0.2500, 0.2500)

(11)
A relaxed RbAs5Pd3 crystal. Source: the Open Quantum Materials Database, functional PBE-GGA.

Uncorrected energy   -40.99 eV/f.u.

a = 5.5815 Å, b = 5.5815 Å, c = 7.8765 Å
α = 90.00°, β = 90.00°, γ = 120.00°
Fractional coordinates of all 9 atoms:
Rb (0.0000, 0.0000, 0.0000)
As (0.0000, 0.0000, 0.5000)
As (0.3333, 0.6667, 0.2481)
As (0.3333, 0.6667, 0.7519)
As (0.6667, 0.3333, 0.2481)
As (0.6667, 0.3333, 0.7519)
Pd (0.0000, 0.5000, 0.5000)
Pd (0.5000, 0.0000, 0.5000)
Pd (0.5000, 0.5000, 0.5000)

(12)
A relaxed TbHfNi crystal. Source: the Open Quantum Materials Database, functional PBE-GGA.

Energy of formation from the pure elements   0.048 eV per atom

a = 4.5583 Å, b = 4.5583 Å, c = 4.5583 Å
α = 60.00°, β = 60.00°, γ = 60.00°
Fractional coordinates of all 3 atoms:
Tb (0.0000, 0.0000, 0.0000)
Hf (0.5000, 0.5000, 0.5000)
Ni (0.7500, 0.7500, 0.7500)

(13)
A relaxed Lu2ScPd crystal. Source: the Open Quantum Materials Database, functional PBE-GGA.

Energy of formation from the pure elements   -0.172 eV per atom

a = 5.0414 Å, b = 5.0414 Å, c = 5.0414 Å
α = 60.00°, β = 60.00°, γ = 60.00°
Fractional coordinates of all 4 atoms:
Lu (0.0000, 0.0000, 0.0000)
Lu (0.2500, 0.2500, 0.2500)
Sc (0.7500, 0.7500, 0.7500)
Pd (0.5000, 0.5000, 0.5000)

(14)
A relaxed LuNb2 crystal. Source: the Open Quantum Materials Database, functional PBE-GGA.

Energy of formation from the pure elements   4.190 eV per atom
Excess energy over the best structure of this formula in the dataset   4033 meV per atom

a = 8.7431 Å, b = 8.7431 Å, c = 8.7431 Å
α = 60.00°, β = 60.00°, γ = 60.00°
Fractional coordinates of all 6 atoms:
Lu (0.1250, 0.1250, 0.1250)
Lu (0.8750, 0.8750, 0.8750)
Nb (0.0000, 0.0000, 0.0000)
Nb (0.0000, 0.0000, 0.5000)
Nb (0.0000, 0.5000, 0.0000)
Nb (0.5000, 0.0000, 0.0000)

(15)
A relaxed LaHf2Ag crystal. Source: the Open Quantum Materials Database, functional PBE-GGA.

Energy of formation from the pure elements   0.407 eV per atom

a = 3.1403 Å, b = 3.1403 Å, c = 10.4518 Å
α = 90.00°, β = 90.00°, γ = 120.00°
Fractional coordinates of all 4 atoms:
La (0.0000, 0.0000, 0.0000)
Hf (0.0000, 0.0000, 0.2814)
Hf (0.0000, 0.0000, 0.7186)
Ag (0.6667, 0.3333, 0.5000)

(16)
A relaxed BeCu2 crystal. Source: the Open Quantum Materials Database, functional PBE-GGA.

Uncorrected energy   -6.45 eV/f.u.

a = 6.6541 Å, b = 6.6541 Å, c = 6.6541 Å
α = 60.00°, β = 60.00°, γ = 60.00°
Fractional coordinates of all 6 atoms:
Be (0.1250, 0.1250, 0.1250)
Be (0.8750, 0.8750, 0.8750)
Cu (0.0000, 0.0000, 0.0000)
Cu (0.0000, 0.0000, 0.5000)
Cu (0.0000, 0.5000, 0.0000)
Cu (0.5000, 0.0000, 0.0000)

(17)
A relaxed ErPu crystal. Source: the Open Quantum Materials Database, functional PBE-GGA.

Energy of formation from the pure elements   0.620 eV per atom
Excess energy over the best structure of this formula in the dataset   547 meV per atom

a = 5.3139 Å, b = 5.3139 Å, c = 5.0141 Å
α = 90.00°, β = 90.00°, γ = 120.00°
Fractional coordinates of all 4 atoms:
Er (0.3333, 0.6667, 0.2500)
Er (0.6667, 0.3333, 0.7500)
Pu (0.0000, 0.0000, 0.0000)
Pu (0.0000, 0.0000, 0.5000)

(18)
A relaxed ZnGaNO crystal. Source: the Open Quantum Materials Database, functional PBE-GGA.

Excess energy over the best structure of this formula in the dataset   342 meV per atom

a = 4.2483 Å, b = 4.2483 Å, c = 4.3117 Å
α = 90.00°, β = 90.00°, γ = 90.00°
Fractional coordinates of all 8 atoms:
Zn (0.2500, 0.2500, 0.0022)
Zn (0.7500, 0.7500, 0.9978)
Ga (0.2500, 0.7500, 0.5000)
Ga (0.7500, 0.2500, 0.5000)
N (0.2500, 0.2500, 0.5012)
N (0.7500, 0.7500, 0.4988)
O (0.2500, 0.7500, 0.0000)
O (0.7500, 0.2500, 0.0000)

(19)
A relaxed PrCdNO crystal. Source: the Open Quantum Materials Database, functional PBE-GGA.

Excess energy over the best structure of this formula in the dataset   40 meV per atom

a = 3.6096 Å, b = 3.6096 Å, c = 4.7615 Å
α = 90.00°, β = 90.00°, γ = 90.00°
Fractional coordinates of all 4 atoms:
Pr (0.0000, 0.0000, 0.0000)
Cd (0.5000, 0.5000, 0.5000)
N (0.5000, 0.5000, 0.0000)
O (0.0000, 0.0000, 0.5000)

(20)
A relaxed TaCuSnPt crystal. Source: the Open Quantum Materials Database, functional PBE-GGA.

Excess energy over the best structure of this formula in the dataset   12 meV per atom

a = 4.5977 Å, b = 4.5977 Å, c = 4.5977 Å
α = 60.00°, β = 60.00°, γ = 60.00°
Fractional coordinates of all 4 atoms:
Ta (0.0000, 0.0000, 0.0000)
Cu (0.5000, 0.5000, 0.5000)
Sn (0.2500, 0.2500, 0.2500)
Pt (0.7500, 0.7500, 0.7500)

(21)
A relaxed NdHo2Co2B2N3 crystal. Source: the Open Quantum Materials Database, functional PBE-GGA.

Uncorrected energy   -77.87 eV/f.u.

a = 10.3377 Å, b = 10.3377 Å, c = 10.3377 Å
α = 160.46°, β = 160.46°, γ = 27.77°
Fractional coordinates of all 10 atoms:
Nd (0.0000, 0.0000, 0.0000)
Ho (0.3733, 0.3733, 0.0000)
Ho (0.6267, 0.6267, 0.0000)
Co (0.2500, 0.7500, 0.5000)
Co (0.7500, 0.2500, 0.5000)
B (0.1959, 0.1959, 0.0000)
B (0.8041, 0.8041, 0.0000)
N (0.1214, 0.1214, 0.0000)
N (0.5000, 0.5000, 0.0000)
N (0.8786, 0.8786, 0.0000)

(22)
A relaxed ZrGaCoCu crystal. Source: the Open Quantum Materials Database, functional PBE-GGA.

Excess energy over the best structure of this formula in the dataset   174 meV per atom

a = 4.3891 Å, b = 4.3891 Å, c = 4.3891 Å
α = 60.00°, β = 60.00°, γ = 60.00°
Fractional coordinates of all 4 atoms:
Zr (0.0000, 0.0000, 0.0000)
Ga (0.2500, 0.2500, 0.2500)
Co (0.7500, 0.7500, 0.7500)
Cu (0.5000, 0.5000, 0.5000)

(23)
A relaxed Cu5Ag4 crystal. Source: the Open Quantum Materials Database, functional PBE-GGA.

Energy of formation from the pure elements   0.089 eV per atom
Excess energy over the best structure of this formula in the dataset   49 meV per atom

a = 4.7523 Å, b = 4.7523 Å, c = 11.2504 Å
α = 112.38°, β = 112.38°, γ = 33.98°
Fractional coordinates of all 9 atoms:
Cu (0.0000, 0.0000, 0.0000)
Cu (0.0879, 0.0879, 0.4073)
Cu (0.5254, 0.5254, 0.1951)
Cu (0.7612, 0.7612, 0.0963)
Cu (0.8471, 0.8471, 0.5249)
Ag (0.2186, 0.2186, 0.8848)
Ag (0.3107, 0.3107, 0.3102)
Ag (0.4239, 0.4239, 0.7584)
Ag (0.6250, 0.6250, 0.6240)

(24)
A relaxed Nb4PbN3 crystal. Source: the Open Quantum Materials Database, functional PBE-GGA.

Uncorrected energy   -73.84 eV/f.u.

a = 3.2569 Å, b = 3.2569 Å, c = 24.0118 Å
α = 90.00°, β = 90.00°, γ = 120.00°
Fractional coordinates of all 16 atoms:
Nb (0.0000, 0.0000, 0.1469)
Nb (0.0000, 0.0000, 0.3531)
Nb (0.0000, 0.0000, 0.6469)
Nb (0.0000, 0.0000, 0.8531)
Nb (0.3333, 0.6667, 0.0544)
Nb (0.3333, 0.6667, 0.4456)
Nb (0.6667, 0.3333, 0.5544)
Nb (0.6667, 0.3333, 0.9456)
Pb (0.3333, 0.6667, 0.2500)
Pb (0.6667, 0.3333, 0.7500)
N (0.0000, 0.0000, 0.0000)
N (0.0000, 0.0000, 0.5000)
N (0.3333, 0.6667, 0.6050)
N (0.3333, 0.6667, 0.8950)
N (0.6667, 0.3333, 0.1050)
N (0.6667, 0.3333, 0.3950)

(25)
A relaxed Dy3YTe2C2 crystal. Source: the Open Quantum Materials Database, functional PBE-GGA.

Uncorrected energy   -52.00 eV/f.u.

a = 3.8331 Å, b = 3.8331 Å, c = 14.0430 Å
α = 90.00°, β = 90.00°, γ = 120.00°
Fractional coordinates of all 8 atoms:
Dy (0.0000, 0.0000, 0.0000)
Dy (0.0000, 0.0000, 0.3133)
Dy (0.3333, 0.6667, 0.5001)
Y (0.3333, 0.6667, 0.8130)
Te (0.0000, 0.0000, 0.6566)
Te (0.3333, 0.6667, 0.1567)
C (0.6667, 0.3333, 0.4068)
C (0.6667, 0.3333, 0.9072)